Entry i
A relaxed structure of TcNiSn3. Source: Alexandria via LeMat-Bulk, functional PBE.

a b c (Å): 4.9101 4.9101 4.9101
angles (deg): 90.00 90.00 90.00
Space group Pm-3m (No. 221)
One atom of each set of equivalent atoms:
Tc1 0.0000 0.0000 0.0000 (multiplicity 1)
Ni1 0.5000 0.5000 0.5000 (multiplicity 1)
Sn1 0.0000 0.5000 0.5000 (multiplicity 3)



Entry ii
A relaxed structure of TcNiSn3. Source: Alexandria via LeMat-Bulk, functional PBE.

a b c (Å): 5.1184 5.1184 5.1184
angles (deg): 90.00 90.00 90.00
Space group Pm-3m (No. 221)
One atom of each set of equivalent atoms:
Tc1 0.0000 0.0000 0.0000 (multiplicity 1)
Ni1 0.5000 0.5000 0.5000 (multiplicity 1)
Sn1 0.0000 0.0000 0.5000 (multiplicity 3)



Which one is most stable, and which one is least stable? entry ii is the most stable of them, while entry i is the least stable.



Entry i
A relaxed structure of TcNiSn2. Source: Alexandria via LeMat-Bulk, functional PBE.

a b c (Å): 6.4856 6.4856 6.4856
angles (deg): 90.00 90.00 90.00
Space group Fm-3m (No. 225)
One atom of each set of equivalent atoms:
Tc1 0.0000 0.0000 0.0000 (multiplicity 4)
Ni1 0.0000 0.0000 0.5000 (multiplicity 4)
Sn1 0.2500 0.2500 0.2500 (multiplicity 8)



Entry ii
A relaxed structure of TcNiSn2. Source: Alexandria via LeMat-Bulk, functional PBE.

a b c (Å): 3.0744 3.0744 28.0577
angles (deg): 90.00 90.00 120.00
Space group R-3m (No. 166, hexagonal axes)
One atom of each set of equivalent atoms:
Tc1 0.0000 0.0000 0.0000 (multiplicity 3)
Ni1 0.0000 0.0000 0.5000 (multiplicity 3)
Sn1 0.0000 0.0000 0.0963 (multiplicity 6)



Which one is most stable, and which one is least stable? entry i is the most stable of them, while entry ii is the least stable.